MoBrOF2: optimized geometry, PBE+U.

abc: 4.141 4.141 5.428
angles: 90.00 90.00 90.00
Space group P4/mmm (No. 123)
Inequivalent atoms, fractional coordinates:
Mo  0.000  0.000  0.000
Br  0.000  0.000  0.500
O  0.500  0.500  0.000
F  0.000  0.500  0.500

Values from the calculation:
DFT total energy	-3.3235	eV per atom
volume	18.62	A^3/atom
crystal system	tetragonal